Record 1
# Ac2Th3Te8 GGA-PBE optimized geometry
data_Ac2Th3Te8
_chemical_formula_sum 'Ac4 Th6 Te16'
_symmetry_space_group_name_H-M 'C m m m'
_symmetry_Int_Tables_number 65
_symmetry_space_group_name_Hall '-C 2 2'
_cell_length_a 10.960
_cell_length_b 15.806
_cell_length_c 5.475
_cell_angle_alpha 90.00
_cell_angle_beta 90.00
_cell_angle_gamma 90.00
loop_
_atom_site_label
_atom_site_fract_x
_atom_site_fract_y
_atom_site_fract_z
Ac1 0.000 0.237 0.000
Th1 0.000 0.500 0.000
Th2 0.239 0.000 0.500
Te1 0.000 0.120 0.500
Te2 0.000 0.386 0.500
Te3 0.240 0.382 0.000
# Formation energy from raw total energies = -1.2983 eV per atom
# Calculated volume = 36.5 Å³ per atom

Record 2
# AcThTe GGA-PBE optimized geometry
data_AcThTe
_chemical_formula_sum 'Ac2 Th2 Te2'
_symmetry_space_group_name_H-M 'P -1'
_symmetry_Int_Tables_number 2
_cell_length_a 3.912
_cell_length_b 5.826
_cell_length_c 9.329
_cell_angle_alpha 78.32
_cell_angle_beta 78.23
_cell_angle_gamma 89.52
loop_
_symmetry_equiv_pos_as_xyz
'x,y,z'
'-x,-y,-z'
loop_
_atom_site_label
_atom_site_fract_x
_atom_site_fract_y
_atom_site_fract_z
Ac1 0.075 0.286 0.346
Th1 0.250 0.754 0.022
Te1 0.403 0.191 0.686
# Formation energy from raw total energies = -0.6742 eV per atom
# Calculated volume = 33.9 Å³ per atom

Record 3
# AcThTe GGA-PBE optimized geometry
data_AcThTe
_chemical_formula_sum 'Ac2 Th2 Te2'
_symmetry_space_group_name_H-M 'I 4 m m'
_symmetry_Int_Tables_number 107
_symmetry_space_group_name_Hall 'I 4 -2'
_cell_length_a 3.989
_cell_length_b 3.989
_cell_length_c 13.429
_cell_angle_alpha 90.00
_cell_angle_beta 90.00
_cell_angle_gamma 90.00
loop_
_atom_site_label
_atom_site_fract_x
_atom_site_fract_y
_atom_site_fract_z
Ac1 0.000 0.000 0.000
Th1 0.000 0.000 0.291
Te1 0.000 0.000 0.664
# Formation energy from raw total energies = -0.6044 eV per atom
# Calculated volume = 35.6 Å³ per atom

Which formula does entry 2 have? AcThTe

Among the records above, which one has the highest formation energy from raw total energies? number 3

Which of these has the lowest calculated volume? number 2

Among the records above, which one has the highest calculated volume? Ac2Th3Te8